Material: FeTc3
Method: DFT, GGA-PBE
State: optimized geometry

Results
The density comes out at 10.57 g/cm³. Its final energy is -9.838 eV/atom. The value obtained for the magnetic moment is 8.075 Bohr magnetons per cell. The volume comes out at 329.7 Å³/cell. For the energy of formation, the calculation gives 0.0525 eV per atom.

Cell and atoms, written as POSCAR:
```
FeTc3
1.0
5.4033 0.0000 0.0000
0.0000 13.0919 0.0000
0.0000 0.0000 4.6610
Fe Tc
6 18
Cartesian
1.3508 1.0399 0.7664 Fe
1.3508 5.5060 0.7664 Fe
1.3508 9.8189 2.3097 Fe
4.0525 3.2730 2.3513 Fe
4.0525 7.5859 3.8946 Fe
4.0525 12.0520 3.8946 Fe
0.0080 9.8189 4.6339 Tc
0.0085 1.1347 3.1147 Tc
0.0085 5.4113 3.1147 Tc
1.3508 3.2730 2.2969 Tc
1.3508 7.6488 3.8572 Tc
1.3508 11.9890 3.8572 Tc
2.6932 1.1347 3.1147 Tc
2.6932 5.4113 3.1147 Tc
2.6937 9.8189 4.6339 Tc
2.7096 3.2730 0.0271 Tc
2.7101 7.6806 1.5463 Tc
2.7101 11.9572 1.5463 Tc
4.0525 1.1029 0.8038 Tc
4.0525 5.4431 0.8038 Tc
4.0525 9.8189 2.3641 Tc
5.3948 7.6806 1.5463 Tc
5.3948 11.9572 1.5463 Tc
5.3953 3.2730 0.0271 Tc
```